A relaxed BeAgW2 crystal. Source: Alexandria via LeMat-Bulk, functional PBE.

ΔE_f   0.53 eV per atom
VASP energy   -7.59 eV per atom

Cell: 4.900 4.900 4.900 Å, 141.79 125.21 68.76°
Fractional positions:
W (0.019, 0.019, 0.000)
W (0.754, 0.254, 0.500)
Ag (0.470, 0.470, 0.000)
Be (0.257, 0.757, 0.500)

=====

A relaxed NaNdTh2Te4 crystal. Source: Alexandria via LeMat-Bulk, functional PBE.

E_form (uncorrected)   -889 kJ/mol of formula units
VASP energy   -5.34 eV per atom

Cell: 4.331 7.562 8.139 Å, 107.51 90.00 90.00°
Fractional positions:
Th (0.500, 0.000, 0.500)
Th (0.000, 0.500, 0.500)
Nd (0.000, 0.000, 0.000)
Te (0.500, 0.254, 0.245)
Te (0.500, 0.746, 0.755)
Te (0.000, 0.745, 0.245)
Te (0.000, 0.255, 0.755)
Na (0.500, 0.500, 0.000)

=====

A relaxed SrZr4P crystal. Source: Alexandria via LeMat-Bulk, functional PBE.

ΔE_f   0.56 eV per atom
VASP energy   -6.32 eV per atom

Cell: 5.980 5.980 5.980 Å, 60.00 60.00 60.00°
Fractional positions:
Zr (0.372, 0.372, 0.372)
Zr (0.372, 0.372, 0.885)
Zr (0.885, 0.372, 0.372)
Zr (0.372, 0.885, 0.372)
P (0.750, 0.750, 0.750)
Sr (0.000, 0.000, 0.000)

=====

A relaxed TbYBeGa crystal. Source: Alexandria via LeMat-Bulk, functional PBE.

ΔE_f   -0.25 eV per atom
VASP energy   -4.71 eV per atom

Cell: 4.962 4.962 4.962 Å, 60.00 60.00 60.00°
Fractional positions:
Y (0.750, 0.750, 0.750)
Ga (0.500, 0.500, 0.500)
Be (0.000, 0.000, 0.000)
Tb (0.250, 0.250, 0.250)

=====

A relaxed K3CaSn crystal. Source: Alexandria via LeMat-Bulk, functional PBE.

ΔE_f   0.24 eV per atom
VASP energy   -1.62 eV per atom

Cell: 6.797 6.797 6.797 Å, 90.00 90.00 90.00°
Each line ends with the local moment (μB).
Fractional positions:
K (0.000, 0.500, 0.000)  0.01
K (0.000, 0.000, 0.500)  0.02
K (0.500, 0.000, 0.000)  0.01
Ca (0.500, 0.500, 0.500)  0.00
Sn (0.000, 0.000, 0.000)  0.39

=====

A relaxed Nd2TmTl2Zn2 crystal. Source: Alexandria via LeMat-Bulk, functional PBE.

ΔE_f   -0.17 eV per atom
VASP energy   -3.21 eV per atom

Cell: 4.750 4.750 9.854 Å, 76.05 76.05 60.00°
Fractional positions:
Nd (0.875, 0.875, 0.375)
Nd (0.125, 0.125, 0.625)
Tm (0.000, 0.000, 0.000)
Tl (0.733, 0.733, 0.801)
Tl (0.267, 0.267, 0.199)
Zn (0.614, 0.614, 0.159)
Zn (0.386, 0.386, 0.841)

=====

A relaxed Nd2Sn3SbPd4 crystal. Source: Alexandria via LeMat-Bulk, functional PBE.

E_form (uncorrected)   -734 kJ/mol of formula units
VASP energy   -5.41 eV per atom

Cell: 4.613 4.613 10.725 Å, 90.00 90.00 90.00°
Fractional positions:
Sn (0.000, 0.500, 0.127)
Sn (0.000, 0.000, 0.500)
Sn (0.500, 0.000, 0.873)
Nd (0.500, 0.000, 0.239)
Nd (0.000, 0.500, 0.761)
Pd (0.000, 0.500, 0.370)
Pd (0.000, 0.000, 0.000)
Pd (0.500, 0.000, 0.630)
Pd (0.500, 0.500, 0.000)
Sb (0.500, 0.500, 0.500)

=====

A relaxed Sr3BeAl crystal. Source: Alexandria via LeMat-Bulk, functional PBE.

ΔE_f   0.46 eV per atom
VASP energy   -2.04 eV per atom

Cell: 5.824 5.824 5.824 Å, 90.00 90.00 90.00°
Each line ends with the local moment (μB).
Fractional positions:
Al (0.500, 0.500, 0.500)  0.09
Sr (0.000, 0.500, 0.000)  0.05
Sr (0.500, 0.000, 0.000)  0.04
Sr (0.000, 0.000, 0.500)  0.03
Be (0.000, 0.000, 0.000)  0.02